Record 1
Below is crystalline Na3CaB at its relaxed geometry, with properties calculated at the PBEsol level.

## Properties
ΔH_f (0 K)   723 meV per atom
M_tot   0.20 μB per formula unit
Energy above the lowest structure with this stoichiometry   0.00 kJ/mol of atoms

```
5
Lattice="5.2171 0.0000 0.0000 0.0000 5.2171 0.0000 0.0000 0.0000 5.2171" Properties=species:S:1:pos:R:3 pbc="T T T"
Na 0.0000 0.0000 2.6086
Na 0.0000 2.6086 0.0000
Na 2.6086 0.0000 0.0000
Ca 2.6086 2.6086 2.6086
B 0.0000 0.0000 0.0000
```



Record 2
Below is crystalline SeBr2O at its relaxed geometry, with properties calculated at the PBEsol level.

## Properties
E_form (uncorrected)   3.40 eV per formula unit
M_tot   0.57 μB per formula unit

```
4
Lattice="0.0000 3.2728 3.2728 3.2728 0.0000 3.2728 3.2728 3.2728 0.0000" Properties=species:S:1:pos:R:3 pbc="T T T"
Se 0.0000 0.0000 0.0000
Br 1.6364 1.6364 1.6364
Br 4.9092 4.9092 4.9092
O 3.2728 3.2728 3.2728
```



Record 3
Below is crystalline In2Ir at its relaxed geometry, with properties calculated at the PBEsol level.

## Properties
ΔH_f (0 K)   -118 meV per atom
M_tot   0.00 μB per formula unit

```
24
Lattice="0.0000 6.1211 6.1211 6.1211 0.0000 6.1211 6.1211 6.1211 0.0000" Properties=species:S:1:pos:R:3 pbc="T T T"
In 0.0000 0.0000 0.0000
In 3.0606 3.0606 0.0000
In 3.0606 0.0000 3.0606
In 4.5909 4.5909 2.1655
In 4.5909 2.1655 4.5909
In 7.0162 4.5909 4.5909
In 7.6514 7.6514 5.2261
In 7.6514 5.2261 7.6514
In 10.0768 7.6514 7.6514
In 0.0000 3.0606 3.0606
In 2.1655 4.5909 4.5909
In 4.5909 7.0162 4.5909
In 4.5909 4.5909 7.0162
In 5.2261 7.6514 7.6514
In 7.6514 10.0768 7.6514
In 7.6514 7.6514 10.0768
Ir 9.4997 5.8032 5.8032
Ir 2.7426 2.7426 2.7426
Ir 6.4391 6.4391 2.7426
Ir 6.4391 2.7426 6.4391
Ir 5.8032 9.4997 5.8032
Ir 5.8032 5.8032 9.4997
Ir 9.4997 9.4997 9.4997
Ir 2.7426 6.4391 6.4391
```



Record 4
Below is crystalline InMo2Br at its relaxed geometry, with properties calculated at the PBEsol level.

## Properties
E_form (uncorrected)   3.36 eV per formula unit
M_tot   0.00 μB per formula unit
Energy above the lowest structure with this stoichiometry   24.05 kJ/mol of atoms

```
4
Lattice="-2.1247 2.1247 3.9072 2.1247 -2.1247 3.9072 2.1247 2.1247 -3.9072" Properties=species:S:1:pos:R:3 pbc="T T T"
In 0.0000 0.0000 0.0000
Mo 0.0000 0.0000 3.9072
Mo 0.0000 2.1247 1.9536
Br 2.1247 0.0000 1.9536
```



Record 5
Below is crystalline Y2MnBiW at its relaxed geometry, with properties calculated at the PBEsol level.

## Properties
ΔH_f (0 K)   1628 meV per atom
M_tot   6.71 μB per formula unit

```
5
Lattice="5.6654 0.0000 0.0000 0.0000 5.6654 0.0000 0.0000 0.0000 4.8050" Properties=species:S:1:pos:R:3 pbc="T T T"
Y 0.0000 2.8327 0.0000
Y 2.8327 0.0000 0.0000
Mn 0.0000 0.0000 2.4025
Bi 0.0000 0.0000 0.0000
W 2.8327 2.8327 2.4025
```



Record 6
Below is crystalline CaPr2Te4 at its relaxed geometry, with properties calculated at the PBEsol level.

## Properties
E_form (uncorrected)   -10.65 eV per formula unit
M_tot   0.00 μB per formula unit

```
14
Lattice="-4.7079 4.7079 4.7609 4.7079 -4.7079 4.7609 4.7079 4.7079 -4.7609" Properties=species:S:1:pos:R:3 pbc="T T T"
Ca 0.0000 0.0000 0.0000
Ca 0.0000 4.7079 2.3804
Pr 2.3540 -1.1766 3.5707
Pr 3.5313 2.3540 1.1902
Pr 2.3540 5.8846 -1.1902
Pr 1.1766 2.3540 5.9511
Te 3.9876 3.0475 -1.9036
Te 6.3683 0.7203 0.4769
Te 0.7203 3.0475 -0.4769
Te 0.7203 1.6604 2.8573
Te 1.6604 -0.7203 6.6645
Te 3.9876 1.6604 4.2840
Te 3.0475 5.4282 1.9036
Te -1.6604 3.9876 5.2378
```



Record 7
Below is crystalline RbSm2CuSe4 at its relaxed geometry, with properties calculated at the PBEsol level.

## Properties
E_form (uncorrected)   -12.03 eV per formula unit
M_tot   0.00 μB per formula unit

```
16
Lattice="2.0643 -7.1550 0.0000 2.0643 7.1550 0.0000 0.0000 0.0000 14.3122" Properties=species:S:1:pos:R:3 pbc="T T T"
Rb 2.0643 5.6015 10.7341
Rb 2.0643 -5.6015 3.5780
Sm 2.0643 1.9274 8.0559
Sm 2.0643 1.9274 13.4124
Sm 2.0643 -1.9274 0.8998
Sm 2.0643 -1.9274 6.2563
Cu 2.0643 4.8432 3.5780
Cu 2.0643 -4.8432 10.7341
Se 0.0000 0.0000 0.0000
Se 0.0000 0.0000 7.1561
Se 2.0643 3.3824 1.6259
Se 2.0643 3.3824 5.5302
Se 2.0643 0.9886 10.7341
Se 2.0643 -0.9886 3.5780
Se 2.0643 -3.3824 8.7820
Se 2.0643 -3.3824 12.6863
```



Record 8
Below is crystalline LiMg4Ru at its relaxed geometry, with properties calculated at the PBEsol level.

## Properties
ΔH_f (0 K)   444 meV per atom
M_tot   0.35 μB per formula unit

```
6
Lattice="0.0000 3.8425 3.8425 3.8425 0.0000 3.8425 3.8425 3.8425 0.0000" Properties=species:S:1:pos:R:3 pbc="T T T"
Li 0.0000 0.0000 0.0000
Mg 2.8888 2.8888 2.8888
Mg 4.7961 4.7961 2.8888
Mg 4.7961 2.8888 4.7961
Mg 2.8888 4.7961 4.7961
Ru 5.7637 5.7637 5.7637
```



Question: Which of these has the highest M_tot?
Answer: Y2MnBiW